No. 1
An optimized crystal structure of TeBr5. Source: Alexandria via LeMat-Bulk, functional GGA-PBE.

```
TeBr5
1.0
2.137 7.588 0.478
-2.137 7.588 0.478
0.000 0.913 7.742
Br Te
5 1
Direct
0.721 0.721 0.131
0.036 0.036 0.476
0.600 0.600 0.749
0.316 0.316 0.718
0.994 0.994 0.162
0.167 0.167 0.930
```

Values from the calculation:
The calculation puts the uncorrected formation energy at -0.0911 eV per atom. The value obtained for the offset from the most stable computed form is 0.00 eV per formula unit. Its symmetry is Cm (8). The value obtained for the density of states at the Fermi level is 0.471 states/eV/atom. The calculation puts the total magnetization at 0.633 μB per formula unit.

No. 2
An optimized crystal structure of Pr2NdAs. Source: Alexandria via LeMat-Bulk, functional GGA-PBE.

```
Pr2NdAs
1.0
4.024 0.000 0.000
2.012 3.485 0.000
2.012 1.162 9.698
Pr As Nd
2 1 1
Direct
0.729 0.729 0.814
0.271 0.271 0.186
0.000 0.000 0.000
0.500 0.500 0.500
```

Values from the calculation:
For the formation energy, the calculation gives -0.59 eV/atom. The value obtained for the offset from the most stable computed form is 0.05 eV per formula unit. Its symmetry is R-3m (166). The value obtained for the density of states at the Fermi level is 0.959 states/eV/atom. The calculation puts the total magnetization at 0.000 μB per formula unit.

No. 3
An optimized crystal structure of PrYGeS. Source: Alexandria via LeMat-Bulk, functional GGA-PBE.

```
PrYGeS
1.0
4.142 0.000 0.000
2.071 3.587 0.000
2.071 1.196 6.800
Y S Ge Pr
1 1 1 1
Direct
0.194 0.194 0.419
0.448 0.448 0.656
0.941 0.941 0.178
0.694 0.694 0.918
```

Values from the calculation:
The calculation puts the uncorrected formation energy at -1.4451 eV per atom. Its symmetry is R3m (160). The value obtained for the density of states at the Fermi level is 0.370 states/eV/atom. The calculation puts the total magnetization at 0.000 μB per formula unit.

No. 4
An optimized crystal structure of KCoTe2. Source: Alexandria via LeMat-Bulk, functional GGA-PBE.

```
KCoTe2
1.0
3.341 0.000 0.000
0.000 3.341 0.000
0.000 0.000 10.016
Te K Co
2 1 1
Direct
0.000 0.000 0.981
0.500 0.500 0.352
0.500 0.500 0.719
0.000 0.000 0.447
```

Values from the calculation:
The calculation puts the uncorrected formation energy at -0.0032 eV per atom. Its symmetry is P4mm (99). The value obtained for the density of states at the Fermi level is 0.838 states/eV/atom. The calculation puts the total magnetization at 0.216 μB per formula unit.

no.,calculated volume (Å³ per atom),mass density (g/cm3),energy (eV per atom)
1,41.54,3.51,-2.01
2,34.00,6.12,-5.33
3,25.26,5.50,-6.44
4,27.96,5.24,-3.62